Record 1
This record from the Alexandria database describes a relaxed AgMoPO6 crystal. The functional is PBEsol.

a b c (Å): 6.3326 11.9438 13.0318
angles (deg): 90.00 112.94 90.00
Last column: nearest neighbours and their distance in Å.
Space group P2_1/c (No. 14)
Inequivalent atoms, fractional coordinates:
Ag  0.0830  0.2028  0.1373 (multiplicity 4)  3 O 2.21-2.41
Ag  0.3753  0.7444  0.8799 (multiplicity 4)  2 O 2.11-2.13
Mo  0.1489  0.1038  0.8856 (multiplicity 4)  2 O 1.71-1.72
Mo  0.3694  0.5986  0.1322 (multiplicity 4)  2 O 1.73-1.74
P  0.1934  0.1132  0.4377 (multiplicity 4)  4 O 1.52-1.55
P  0.3625  0.5420  0.6236 (multiplicity 4)  4 O 1.52-1.55
O  0.0541  0.5682  0.1170 (multiplicity 4)  1 P 1.54
O  0.0831  0.1664  0.7578 (multiplicity 4)  1 Mo 1.72
O  0.1169  0.5364  0.3573 (multiplicity 4)  1 Mo 1.71
O  0.1530  0.6188  0.6061 (multiplicity 4)  1 P 1.55
O  0.1947  0.2382  0.4693 (multiplicity 4)  1 P 1.55
O  0.2736  0.0701  0.0630 (multiplicity 4)  1 P 1.54
O  0.2913  0.6769  0.0107 (multiplicity 4)  1 Mo 1.74
O  0.3021  0.0994  0.3504 (multiplicity 4)  1 P 1.55
O  0.3324  0.0492  0.5437 (multiplicity 4)  1 P 1.52
O  0.4123  0.6985  0.2349 (multiplicity 4)  1 Mo 1.73
O  0.4879  0.1061  0.9273 (multiplicity 4)  1 P 1.55
O  0.4960  0.0234  0.7529 (multiplicity 4)  1 P 1.52

## Properties
Raw formation energy, eV per atom: -1.75
Volume, Å³ per cell: 908


Record 2
This record from the Alexandria database describes a relaxed TaInRh crystal. The functional is PBEsol.

a b c (Å): 4.5055 4.5055 2.8572
angles (deg): 90.00 90.00 120.00
Last column: nearest neighbours and their distance in Å.
Space group P-6m2 (No. 187)
Inequivalent atoms, fractional coordinates:
Ta  0.0000  0.0000  0.0000 (multiplicity 1)  2 Ta 2.86, 6 In 2.97, 6 Rh 2.97
In  0.3333  0.6667  0.5000 (multiplicity 1)  3 Rh 2.60, 2 In 2.86
Rh  0.6667  0.3333  0.5000 (multiplicity 1)  3 In 2.60, 2 Rh 2.86

## Properties
VASP energy, eV/cell: -24.104
Volume, Å³ per cell: 50


Record 3
This record from the Alexandria database describes a relaxed Li17Sn4 crystal. The functional is PBEsol.

a b c (Å): 19.4656 19.4656 19.4656
angles (deg): 90.00 90.00 90.00
Last column: nearest neighbours and their distance in Å.
Space group F-43m (No. 216)
Inequivalent atoms, fractional coordinates:
Li  0.0000  0.0000  0.0000 (multiplicity 4)  4 Li 2.51
Li  0.0000  0.0000  0.1711 (multiplicity 24)  4 Li 2.78-2.82, 3 Sn 2.86-2.92
Li  0.0064  0.1633  0.8367 (multiplicity 48)  6 Li 2.74-2.93, 3 Sn 2.81-2.99
Li  0.0194  0.1538  0.3462 (multiplicity 48)  6 Li 2.79-2.94, 3 Sn 2.83-3.06
Li  0.0558  0.0558  0.4442 (multiplicity 16)  9 Li 2.79-3.07, 3 Sn 2.85
Li  0.0744  0.0744  0.9256 (multiplicity 16)  7 Li 2.51-2.78
Li  0.0759  0.2500  0.7500 (multiplicity 24)  4 Li 2.74-2.77, 3 Sn 2.85-2.97
Li  0.0828  0.0828  0.5828 (multiplicity 16)  9 Li 2.79-2.98, 3 Sn 2.95
Li  0.0904  0.0904  0.2387 (multiplicity 48)  6 Li 2.58-2.82
Li  0.0923  0.0923  0.7352 (multiplicity 48)  2 Sn 2.76-2.77, 6 Li 2.93-2.98
Li  0.1707  0.1707  0.1707 (multiplicity 16)  6 Li 2.58-2.83
Li  0.1851  0.1851  0.3149 (multiplicity 16)  6 Li 2.83-3.00, 3 Sn 2.86
Li  0.1967  0.1967  0.6967 (multiplicity 16)  9 Li 2.77-2.97, 3 Sn 2.96
Sn  0.0000  0.0000  0.3211 (multiplicity 24)  13 Li 2.77-3.06
Sn  0.0705  0.2500  0.2500 (multiplicity 24)  13 Li 2.82-3.14
Sn  0.0834  0.0834  0.0834 (multiplicity 16)  14 Li 2.81-3.08
Sn  0.1601  0.1601  0.8399 (multiplicity 16)  13 Li 2.76-2.99

## Properties
VASP energy, eV/cell: -1164.680
Volume, Å³ per cell: 7376


Record 4
This record from the Alexandria database describes a relaxed KNiPH2O5 crystal. The functional is PBEsol.

a b c (Å): 5.5027 8.1832 4.6585
angles (deg): 90.00 90.00 90.00
Last column: nearest neighbours and their distance in Å.
Space group Pmn2_1 (No. 31)
Inequivalent atoms, fractional coordinates:
K  0.0000  0.0496  0.0000 (multiplicity 2)  5 O 2.64-2.84
Ni  0.0000  0.4834  0.8638 (multiplicity 2)  6 O 2.00-2.12
P  0.0000  0.7100  0.4415 (multiplicity 2)  4 O 1.52-1.59
H  0.1441  0.3144  0.4424 (multiplicity 4)  1 O 1.00
O  0.0000  0.2946  0.5679 (multiplicity 2)  2 H 1.00
O  0.0000  0.6815  0.1163 (multiplicity 2)  1 P 1.53
O  0.0000  0.8926  0.5058 (multiplicity 2)  1 P 1.52
O  0.2254  0.6232  0.5899 (multiplicity 4)  1 P 1.59

## Properties
VASP energy, eV/cell: -123.851
Volume, Å³ per cell: 210


no.,magnetization (μB per cell)
1,0.001
2,0.000
3,0.004
4,3.885